No. 1
# Si2TcOs | Alexandria | PBEsol | optimized geometry
# Formation energy (no corrections)   0.246 eV per atom
# Magnetic moment   0.0 μB per formula unit
# Space-group type   Cmm2
# Total energy   -8.498 eV per atom
# Theoretical density   10.369 Mg/m³
data_Si2TcOs
_chemical_formula_sum 'Si2 Tc1 Os1'
_cell_length_a 2.723
_cell_length_b 2.723
_cell_length_c 8.231
_cell_angle_alpha 90.00
_cell_angle_beta 90.00
_cell_angle_gamma 115.39
_space_group_name_H-M_alt 'P 1'
_space_group_IT_number 1
loop_
_space_group_symop_operation_xyz
'x,y,z'
loop_
_atom_site_label
_atom_site_type_symbol
_atom_site_fract_x
_atom_site_fract_y
_atom_site_fract_z
_atom_site_occupancy
Si1 Si 0.500 0.500 0.748 1
Si2 Si 0.000 0.000 0.003 1
Os1 Os 0.500 0.500 0.238 1
Tc1 Tc 0.000 0.000 0.512 1


No. 2
# Cu2TcAs | Alexandria | PBEsol | optimized geometry
# Calculated formation energy   6.21 kcal/mol of atoms
# Magnetic moment   0.0 μB per formula unit
# Space-group type   Pmmm
# Total energy   -5.991 eV per atom
# Theoretical density   9.370 Mg/m³
data_Cu2TcAs
_chemical_formula_sum 'Cu2 Tc1 As1'
_cell_length_a 2.627
_cell_length_b 3.985
_cell_length_c 5.079
_cell_angle_alpha 90.00
_cell_angle_beta 90.00
_cell_angle_gamma 90.00
_space_group_name_H-M_alt 'P 1'
_space_group_IT_number 1
loop_
_space_group_symop_operation_xyz
'x,y,z'
loop_
_atom_site_label
_atom_site_type_symbol
_atom_site_fract_x
_atom_site_fract_y
_atom_site_fract_z
_atom_site_occupancy
As1 As 0.500 0.500 0.500 1
Cu1 Cu 0.000 0.000 0.241 1
Cu2 Cu 0.000 0.000 0.759 1
Tc1 Tc 0.500 0.500 0.000 1


No. 3
# NiOsBr2 | Alexandria | PBEsol | optimized geometry
# Formation energy (no corrections)   0.912 eV per atom
# Magnetic moment   0.0 μB per formula unit
# Space-group type   Imm2
# Total energy   -4.617 eV per atom
# Theoretical density   9.312 Mg/m³
data_NiOsBr2
_chemical_formula_sum 'Ni1 Os1 Br2'
_cell_length_a 3.002
_cell_length_b 4.273
_cell_length_c 6.253
_cell_angle_alpha 109.98
_cell_angle_beta 103.89
_cell_angle_gamma 90.00
_space_group_name_H-M_alt 'P 1'
_space_group_IT_number 1
loop_
_space_group_symop_operation_xyz
'x,y,z'
loop_
_atom_site_label
_atom_site_type_symbol
_atom_site_fract_x
_atom_site_fract_y
_atom_site_fract_z
_atom_site_occupancy
Ni1 Ni 0.579 0.579 0.159 1
Br1 Br 0.719 0.219 0.438 1
Os1 Os 0.255 0.755 0.510 1
Br2 Br 0.947 0.947 0.894 1


No. 4
# Li2MgRu | Alexandria | PBEsol | optimized geometry
# Calculated formation energy   4.66 kcal/mol of atoms
# Magnetic moment   0.0 μB per formula unit
# Space-group type   Cm
# Total energy   -3.754 eV per atom
# Theoretical density   3.833 Mg/m³
data_Li2MgRu
_chemical_formula_sum 'Li2 Mg1 Ru1'
_cell_length_a 2.584
_cell_length_b 4.729
_cell_length_c 5.159
_cell_angle_alpha 95.63
_cell_angle_beta 90.00
_cell_angle_gamma 105.86
_space_group_name_H-M_alt 'P 1'
_space_group_IT_number 1
loop_
_space_group_symop_operation_xyz
'x,y,z'
loop_
_atom_site_label
_atom_site_type_symbol
_atom_site_fract_x
_atom_site_fract_y
_atom_site_fract_z
_atom_site_occupancy
Li1 Li 0.004 0.009 0.008 1
Mg1 Mg 0.496 0.991 0.473 1
Li2 Li 0.251 0.501 0.763 1
Ru1 Ru 0.750 0.499 0.256 1


No. 5
# CaCr2Br2 | Alexandria | PBEsol | optimized geometry
# Formation energy (no corrections)   0.090 eV per atom
# Magnetic moment   0.1 μB per formula unit
# Space-group type   I4/mmm
# Total energy   -5.181 eV per atom
# Theoretical density   4.778 Mg/m³
data_CaCr2Br2
_chemical_formula_sum 'Ca1 Cr2 Br2'
_cell_length_a 4.669
_cell_length_b 4.669
_cell_length_c 5.863
_cell_angle_alpha 113.46
_cell_angle_beta 113.46
_cell_angle_gamma 90.00
_space_group_name_H-M_alt 'P 1'
_space_group_IT_number 1
loop_
_space_group_symop_operation_xyz
'x,y,z'
loop_
_atom_site_label
_atom_site_type_symbol
_atom_site_fract_x
_atom_site_fract_y
_atom_site_fract_z
_atom_site_occupancy
Br1 Br 0.750 0.250 0.500 1
Cr1 Cr 0.592 0.592 0.183 1
Ca1 Ca 0.000 0.000 0.000 1
Br2 Br 0.250 0.750 0.500 1
Cr2 Cr 0.408 0.408 0.817 1


No. 6
# Tl3GaH | Alexandria | PBEsol | optimized geometry
# Magnetic moment   0.0 μB per formula unit
# Space-group type   Pm-3m
# Total energy   -2.639 eV per atom
# Theoretical density   10.298 Mg/m³
data_Tl3GaH
_chemical_formula_sum 'Tl3 Ga1 H1'
_cell_length_a 4.795
_cell_length_b 4.795
_cell_length_c 4.795
_cell_angle_alpha 90.00
_cell_angle_beta 90.00
_cell_angle_gamma 90.00
_space_group_name_H-M_alt 'P 1'
_space_group_IT_number 1
loop_
_space_group_symop_operation_xyz
'x,y,z'
loop_
_atom_site_label
_atom_site_type_symbol
_atom_site_fract_x
_atom_site_fract_y
_atom_site_fract_z
_atom_site_occupancy
Tl1 Tl 0.000 0.500 0.000 1
H1 H 0.000 0.000 0.000 1
Ga1 Ga 0.500 0.500 0.500 1
Tl2 Tl 0.000 0.000 0.500 1
Tl3 Tl 0.500 0.000 0.000 1


No. 7
# Li2TcPt | Alexandria | PBEsol | optimized geometry
# Calculated formation energy   -1.38 kcal/mol of atoms
# Magnetic moment   0.1 μB per formula unit
# Space-group type   Immm
# Total energy   -5.601 eV per atom
# Theoretical density   9.215 Mg/m³
data_Li2TcPt
_chemical_formula_sum 'Li2 Tc1 Pt1'
_cell_length_a 2.650
_cell_length_b 4.569
_cell_length_c 5.277
_cell_angle_alpha 115.65
_cell_angle_beta 104.54
_cell_angle_gamma 90.00
_space_group_name_H-M_alt 'P 1'
_space_group_IT_number 1
loop_
_space_group_symop_operation_xyz
'x,y,z'
loop_
_atom_site_label
_atom_site_type_symbol
_atom_site_fract_x
_atom_site_fract_y
_atom_site_fract_z
_atom_site_occupancy
Li1 Li 0.759 0.759 0.519 1
Tc1 Tc 0.000 0.500 0.000 1
Li2 Li 0.241 0.241 0.481 1
Pt1 Pt 0.500 0.000 0.000 1


No. 8
# Li2ZrFe | Alexandria | PBEsol | optimized geometry
# Calculated formation energy   8.85 kcal/mol of atoms
# Magnetic moment   1.1 μB per formula unit
# Space-group type   Imm2
# Total energy   -5.113 eV per atom
# Theoretical density   4.364 Mg/m³
data_Li2ZrFe
_chemical_formula_sum 'Li2 Zr1 Fe1'
_cell_length_a 3.143
_cell_length_b 4.843
_cell_length_c 4.952
_cell_angle_alpha 119.28
_cell_angle_beta 108.50
_cell_angle_gamma 90.00
_space_group_name_H-M_alt 'P 1'
_space_group_IT_number 1
loop_
_space_group_symop_operation_xyz
'x,y,z'
loop_
_atom_site_label
_atom_site_type_symbol
_atom_site_fract_x
_atom_site_fract_y
_atom_site_fract_z
_atom_site_occupancy
Fe1 Fe 0.746 0.246 0.492 1
Li1 Li 0.012 0.012 0.023 1
Zr1 Zr 0.476 0.476 0.951 1
Li2 Li 0.267 0.767 0.533 1


No. 9
# Sc2TaCr | Alexandria | PBEsol | optimized geometry
# Calculated formation energy   10.12 kcal/mol of atoms
# Magnetic moment   0.3 μB per formula unit
# Space-group type   C2/m
# Total energy   -8.562 eV per atom
# Theoretical density   7.618 Mg/m³
data_Sc2TaCr
_chemical_formula_sum 'Sc2 Ta1 Cr1'
_cell_length_a 2.798
_cell_length_b 5.381
_cell_length_c 5.381
_cell_angle_alpha 118.82
_cell_angle_beta 93.86
_cell_angle_gamma 93.86
_space_group_name_H-M_alt 'P 1'
_space_group_IT_number 1
loop_
_space_group_symop_operation_xyz
'x,y,z'
loop_
_atom_site_label
_atom_site_type_symbol
_atom_site_fract_x
_atom_site_fract_y
_atom_site_fract_z
_atom_site_occupancy
Sc1 Sc 0.000 0.500 0.000 1
Sc2 Sc 0.000 0.000 0.500 1
Ta1 Ta 0.500 0.500 0.500 1
Cr1 Cr 0.500 0.000 0.000 1


No. 10
# NiPdCl2 | Alexandria | PBEsol | optimized geometry
# Formation energy (no corrections)   0.287 eV per atom
# Magnetic moment   1.6 μB per formula unit
# Space-group type   Fm-3m
# Total energy   -3.746 eV per atom
# Theoretical density   6.543 Mg/m³
data_NiPdCl2
_chemical_formula_sum 'Ni1 Pd1 Cl2'
_cell_length_a 4.392
_cell_length_b 4.392
_cell_length_c 4.392
_cell_angle_alpha 60.00
_cell_angle_beta 60.00
_cell_angle_gamma 60.00
_space_group_name_H-M_alt 'P 1'
_space_group_IT_number 1
loop_
_space_group_symop_operation_xyz
'x,y,z'
loop_
_atom_site_label
_atom_site_type_symbol
_atom_site_fract_x
_atom_site_fract_y
_atom_site_fract_z
_atom_site_occupancy
Cl1 Cl 0.250 0.250 0.250 1
Pd1 Pd 0.500 0.500 0.500 1
Cl2 Cl 0.750 0.750 0.750 1
Ni1 Ni 0.000 0.000 0.000 1